# 1
# PBE TbMnWC3, optimized geometry
data_TbMnWC3
_cell_length_a 6.713
_cell_length_b 3.270
_cell_length_c 7.357
_cell_angle_alpha 90.00
_cell_angle_beta 103.81
_cell_angle_gamma 90.00
_space_group_name_H-M_alt 'P 1 21/m 1'
_space_group_IT_number 11
loop_
_space_group_symop_operation_xyz
'x,y,z'
'-x,-y,-z'
'-x,y+1/2,-z'
'x,-y+1/2,z'
loop_
_atom_site_label
_atom_site_fract_x
_atom_site_fract_y
_atom_site_fract_z
Tb1 0.182 0.250 0.199
Mn1 0.107 0.250 0.605
W1 0.350 0.750 0.866
C1 0.123 0.250 0.859
C2 0.179 0.750 0.528
C3 0.443 0.750 0.159
# Calculated total energy (eV/cell): -108.2
# Magnetization (Bohr magnetons per cell): 0.000
# Energy of formation from the pure elements (eV/atom): 0.052


# 2
# PBE MnTc2C, optimized geometry
data_MnTc2C
_cell_length_a 2.9152
_cell_length_b 2.9152
_cell_length_c 20.5457
_cell_angle_alpha 90.00
_cell_angle_beta 90.00
_cell_angle_gamma 120.00
_space_group_name_H-M_alt 'R -3 m'
_space_group_IT_number 166
_space_group_name_Hall '-R 3 2"'
loop_
_atom_site_label
_atom_site_fract_x
_atom_site_fract_y
_atom_site_fract_z
Mn1 0.0000 0.0000 0.0000
Tc1 0.0000 0.0000 0.2276
C1 0.0000 0.0000 0.5000
# Calculated total energy (eV/cell): -114.1
# Excess energy over the best structure of this formula in the dataset (meV per atom): 0
# Magnetization (Bohr magnetons per cell): 9.526
# Energy of formation from the pure elements (eV/atom): 0.272


# 3
# PBE MnTc2C, optimized geometry
data_MnTc2C
_cell_length_a 5.708
_cell_length_b 5.708
_cell_length_c 5.708
_cell_angle_alpha 90.00
_cell_angle_beta 90.00
_cell_angle_gamma 90.00
_space_group_name_H-M_alt 'F m -3 m'
_space_group_IT_number 225
_space_group_name_Hall '-F 4 2 3'
loop_
_atom_site_label
_atom_site_fract_x
_atom_site_fract_y
_atom_site_fract_z
Mn1 0.000 0.000 0.000
Tc1 0.250 0.250 0.250
C1 0.000 0.000 0.500
# Calculated total energy (eV/cell): -144.4
# Excess energy over the best structure of this formula in the dataset (meV per atom): 485
# Magnetization (Bohr magnetons per cell): 7.711
# Energy of formation from the pure elements (eV/atom): 0.757


# 4
# PBE MnTcC3, optimized geometry
data_MnTcC3
_cell_length_a 3.731
_cell_length_b 3.731
_cell_length_c 3.731
_cell_angle_alpha 90.00
_cell_angle_beta 90.00
_cell_angle_gamma 90.00
_space_group_name_H-M_alt 'P m -3 m'
_space_group_IT_number 221
_space_group_name_Hall '-P 4 2 3'
loop_
_atom_site_label
_atom_site_fract_x
_atom_site_fract_y
_atom_site_fract_z
Mn1 0.000 0.000 0.000
Tc1 0.500 0.500 0.500
C1 0.000 0.000 0.500
# Calculated total energy (eV/cell): -37.5
# Magnetization (Bohr magnetons per cell): 3.162
# Energy of formation from the pure elements (eV/atom): 1.944


magnetization of number 3 (MnTc2C)?
7.711 Bohr magnetons per cell


calculated total energy of number 2 (MnTc2C)?
-114.1 eV/cell